DFT (PBE-GGA) results for a relaxed Ba2Pd12Pb7 crystal.

Results
E_tot: -99.03 eV per formula unit
ΔE_f: -0.3290 eV/atom
DOS at the Fermi energy: 12.1 states/eV/f.u.

Unit cell a=4.8188 b=10.6340 c=10.6340 alpha=120.00 beta=90.00 gamma=90.00
Atoms (fractional coordinates):
Pb1 0.6767 0.6131 0.9030
Pb2 0.6767 0.2900 0.3869
Pb3 0.3233 0.7100 0.6131
Pb4 0.3233 0.9030 0.2900
Pb5 0.3233 0.3869 0.0970
Pb6 0.6767 0.0970 0.7100
Pb7 0.5000 0.0000 0.0000
Pd1 0.1898 0.4380 0.3779
Pd2 0.8102 0.0601 0.4380
Pd3 0.8102 0.5620 0.6221
Pd4 0.1690 0.1335 0.2549
Pd5 0.1690 0.1213 0.8665
Pd6 0.8310 0.8787 0.1335
Pd7 0.8102 0.3779 0.9399
Pd8 0.8310 0.2549 0.1213
Pd9 0.1898 0.9399 0.5620
Pd10 0.1690 0.7451 0.8787
Pd11 0.1898 0.6221 0.0601
Pd12 0.8310 0.8665 0.7451
Ba1 0.7898 0.6667 0.3333
Ba2 0.2102 0.3333 0.6667